Entry 1:
PaNiAu, optimized geometry, DFT GGA-PBE; relative energy among the computed polymorphs = 35 meV/atom
1.0
-3.198 -1.835 -2.592
4.302 -0.065 -1.343
0.421 -2.835 1.487
Ni Pa Au
1 1 1
Direct
0.667 0.333 0.500
0.000 0.000 0.000
0.333 0.667 0.500

***

Entry 2:
PaNi4Au, optimized geometry, DFT GGA-PBE; total DFT energy (no corrections) = -6.46 eV/atom
1.0
4.943 0.000 0.000
2.471 4.281 0.000
2.471 1.427 4.036
Ni Pa Au
4 1 1
Direct
0.626 0.626 0.123
0.626 0.123 0.626
0.626 0.626 0.626
0.123 0.626 0.626
0.250 0.250 0.250
0.000 0.000 0.000

***

Entry 3:
Pa2NiAu, optimized geometry, DFT GGA-PBE; relative energy among the computed polymorphs = 0 meV/atom
1.0
-0.687 -2.941 1.765
-0.318 -1.738 -3.019
6.642 -1.464 0.144
Ni Pa Au
1 2 1
Direct
0.500 0.500 0.000
0.000 0.000 0.789
0.000 0.000 0.211
0.500 0.500 0.500

***

Entry 4:
Pa2NiAu, optimized geometry, DFT GGA-PBE; relative energy among the computed polymorphs = 386 meV/atom
1.0
-0.147 -2.349 -2.081
2.606 -0.964 -1.467
2.534 -7.814 6.271
Ni Pa Au
1 2 1
Direct
0.500 0.500 0.500
0.098 0.098 0.706
0.902 0.902 0.294
0.000 0.000 0.000

***

Entry 5:
PaNi5Au, optimized geometry, DFT GGA-PBE; total DFT energy (no corrections) = -6.26 eV/atom
1.0
-2.241 -3.491 2.371
4.501 1.513 6.482
-6.975 6.704 3.279
Pa Ni Au
4 20 4
Direct
0.250 0.250 0.936
0.750 0.250 0.436
0.250 0.750 0.564
0.750 0.750 0.064
0.250 0.581 0.015
0.750 0.919 0.515
0.250 0.081 0.485
0.750 0.419 0.985
0.750 0.305 0.767
0.250 0.195 0.267
0.750 0.805 0.733
0.250 0.695 0.233
0.250 0.966 0.101
0.750 0.534 0.601
0.250 0.466 0.399
0.750 0.034 0.899
0.998 0.436 0.191
0.002 0.064 0.691
0.502 0.936 0.309
0.498 0.564 0.809
0.002 0.564 0.809
0.998 0.936 0.309
0.498 0.064 0.691
0.502 0.436 0.191
0.250 0.855 0.864
0.750 0.645 0.364
0.250 0.355 0.636
0.750 0.145 0.136

***

Entry 6:
PaNi6Au, optimized geometry, DFT GGA-PBE; total DFT energy (no corrections) = -6.03 eV/atom
1.0
4.776 0.000 0.000
0.000 4.776 0.000
0.000 0.000 4.776
Pa Ni Au
1 6 1
Direct
0.500 0.500 0.500
0.500 0.754 0.000
0.754 0.000 0.500
0.000 0.500 0.246
0.246 0.000 0.500
0.500 0.246 0.000
0.000 0.500 0.754
0.000 0.000 0.000

***

Entry 7:
PaNiAu2, optimized geometry, DFT GGA-PBE; relative energy among the computed polymorphs = 247 meV/atom
1.0
-2.561 -1.365 3.420
1.622 -2.926 2.988
1.226 1.993 4.654
Ni Pa Au
1 1 2
Direct
0.500 0.500 0.500
0.000 0.000 0.000
0.774 0.774 0.678
0.226 0.226 0.322

***

Entry 8:
Pa2Ni9Au, optimized geometry, DFT GGA-PBE; total DFT energy (no corrections) = -6.43 eV/atom
1.0
4.889 0.000 0.000
2.444 4.234 0.000
2.444 1.411 8.079
Pa Ni Au
2 9 1
Direct
0.868 0.868 0.397
0.132 0.132 0.603
0.667 0.667 0.000
0.333 0.333 0.000
0.500 0.500 0.500
0.415 0.415 0.250
0.919 0.415 0.250
0.415 0.919 0.250
0.585 0.585 0.750
0.585 0.081 0.750
0.081 0.585 0.750
0.000 0.000 0.000

***

Entry 9:
PaNiAu, optimized geometry, DFT GGA-PBE; relative energy among the computed polymorphs = 168 meV/atom
1.0
4.456 0.000 0.000
2.228 3.859 0.000
2.228 1.286 3.639
Ni Pa Au
1 1 1
Direct
0.250 0.250 0.250
0.500 0.500 0.500
0.000 0.000 0.000

***

Entry 10:
PaNiAu11, optimized geometry, DFT GGA-PBE; total DFT energy (no corrections) = -4.01 eV/atom
1.0
-4.930 1.983 -1.469
-4.478 0.779 5.456
-0.166 7.427 0.234
Pa Ni Au
1 1 11
Direct
0.000 0.000 0.000
0.500 0.500 0.000
0.304 0.215 0.206
0.696 0.785 0.794
0.490 0.785 0.206
0.510 0.215 0.794
0.352 0.648 0.671
0.648 0.352 0.329
0.977 0.352 0.671
0.023 0.648 0.329
0.000 0.500 0.000
0.500 0.000 0.500
0.000 0.000 0.500

***

Entry 11:
PaNiAu, optimized geometry, DFT GGA-PBE; relative energy among the computed polymorphs = 123 meV/atom
1.0
3.181 0.000 0.000
0.000 3.181 0.000
-1.590 -1.590 5.441
Ni Pa Au
1 1 1
Direct
0.336 0.336 0.673
0.683 0.683 0.366
0.981 0.981 0.962

***

Entry 12:
PaNi6Au2, optimized geometry, DFT GGA-PBE; total DFT energy (no corrections) = -5.51 eV/atom
1.0
4.969 0.000 2.869
1.656 4.685 2.869
0.000 0.000 5.738
Pa Ni Au
1 6 2
Direct
0.000 0.000 0.000
0.711 0.711 0.289
0.289 0.711 0.711
0.289 0.711 0.289
0.289 0.289 0.711
0.711 0.289 0.289
0.711 0.289 0.711
0.250 0.250 0.250
0.750 0.750 0.750

***

Number 1: D(E_F) 0.967 states/eV per atom, theoretical density 14.23 Mg/m³. Number 2: D(E_F) 0.356 states/eV per atom, theoretical density 12.89 Mg/m³. Number 3: D(E_F) 1.564 states/eV per atom, theoretical density 14.32 Mg/m³. Number 4: D(E_F) 1.558 states/eV per atom, theoretical density 13.70 Mg/m³. Number 5: D(E_F) 0.881 states/eV per atom, theoretical density 12.22 Mg/m³. Number 6: D(E_F) 0.811 states/eV per atom, theoretical density 11.89 Mg/m³. Number 7: D(E_F) 1.232 states/eV per atom, theoretical density 14.41 Mg/m³. Number 8: D(E_F) 0.989 states/eV per atom, theoretical density 11.79 Mg/m³. Number 9: D(E_F) 2.243 states/eV per atom, theoretical density 12.91 Mg/m³. Number 10: D(E_F) 0.811 states/eV per atom, theoretical density 16.46 Mg/m³. Number 11: D(E_F) 1.586 states/eV per atom, theoretical density 14.68 Mg/m³. Number 12: D(E_F) 0.535 states/eV per atom, theoretical density 12.15 Mg/m³.